(1)
A plane-wave DFT calculation with GGA-PBE was carried out for an optimized crystal structure of Li4Hg2As.

Cell lengths 4.445, 4.445, 14.902 Å; angles 90.00, 90.00, 120.00 degrees
Fractional positions:
Li 0.000 0.000 0.000
Li 0.000 0.000 0.500
Li 0.333 0.667 0.161
Li 0.333 0.667 0.339
Li 0.333 0.667 0.750
Li 0.667 0.333 0.250
Li 0.667 0.333 0.661
Li 0.667 0.333 0.839
Hg 0.333 0.667 0.566
Hg 0.333 0.667 0.934
Hg 0.667 0.333 0.066
Hg 0.667 0.333 0.434
As 0.000 0.000 0.250
As 0.000 0.000 0.750

## Properties
Its crystal system is hexagonal. Its density of states at the Fermi level is 5.11 states/eV/cell. The total energy comes out at -31.5 eV per cell. The spin magnetization is 0.00 μB per formula unit.


(2)
A plane-wave DFT calculation with GGA-PBE was carried out for an optimized crystal structure of LiHg2As.

Cell lengths 9.617, 9.617, 9.617 Å; angles 19.29, 19.29, 19.29 degrees
Fractional positions:
Li 0.000 0.000 0.000
Hg 0.509 0.509 0.509
Hg 0.745 0.745 0.745
As 0.265 0.265 0.265

## Properties
Its crystal system is trigonal. Its density of states at the Fermi level is 2.02 states/eV/cell. The total energy comes out at -7.3 eV per cell. The spin magnetization is 0.00 μB per formula unit.


(3)
A plane-wave DFT calculation with GGA-PBE was carried out for an optimized crystal structure of Li4HgAs.

Cell lengths 4.408, 4.408, 6.368 Å; angles 90.10, 90.10, 90.04 degrees
Fractional positions:
Li 0.000 0.500 0.209
Li 0.000 0.500 0.791
Li 0.500 0.000 0.209
Li 0.500 0.000 0.791
Hg 0.000 0.000 0.500
As 0.500 0.500 0.000

## Properties
Its crystal system is monoclinic. Its density of states at the Fermi level is 3.34 states/eV/cell. As for the energy above the most stable polymorph in this dataset: 0.000 eV/atom. The spin magnetization is 0.00 μB per formula unit.